LaBe3Rh: relaxed, PBEsol.

a b c (Å): 4.5845 4.5845 4.5845
angles (deg): 90.00 90.00 90.00
With the nearest neighbours (Å) after each atom.
Element x y z (fractional)
La  0.0000  0.0000  0.0000  6 Be 2.29
Rh  0.5000  0.5000  0.5000  12 Be 3.24
Be  0.0000  0.5000  0.0000  2 La 2.29
Be  0.5000  0.0000  0.0000  2 La 2.29
Be  0.0000  0.0000  0.5000  2 La 2.29

Summary:
Calculated volume in Å³/atom: 19.3
Space-group type: Pm-3m (221)
Electronic total energy in eV/atom: -2.72